Entry 1:
Compound: CuBPO2
Source: the Alexandria database
Functional: SCAN
Structure: single point on PBEsol structure

**Fermi-level density of states**: 1.9 states/eV/f.u.
**Theoretical density**: 3709 kg/m³
**ΔE_f (raw)**: -0.144 eV/atom
**Distance to the lowest polymorph of the same formula**: 0.000 eV per atom

Cell lengths 3.084, 3.084, 6.463 Å; angles 90.00, 90.00, 90.00 degrees
Space group P4/mmm (No. 123)
One atom of each set of equivalent atoms:
Cu 0.000 0.000 0.000
B 0.500 0.500 0.500
P 0.500 0.500 0.000
O 0.000 0.500 0.500

=====

Entry 2:
Compound: Tb2CuB8O16
Source: the Alexandria database
Functional: SCAN
Structure: single point on PBEsol structure

**Fermi-level density of states**: 0.0 states/eV/f.u.
**Theoretical density**: 4554 kg/m³
**ΔE_f (raw)**: -2.781 eV/atom

Cell lengths 10.227, 8.402, 6.143 Å; angles 90.00, 90.50, 90.00 degrees
Space group P2_1/c (No. 14)
One atom of each set of equivalent atoms:
Tb 0.182 0.011 0.493
Cu 0.500 0.000 0.500
B 0.001 0.682 0.614
B 0.194 0.006 0.991
B 0.371 0.694 0.377
B 0.385 0.190 0.116
O 0.012 0.663 0.060
O 0.106 0.580 0.641
O 0.124 0.118 0.845
O 0.262 0.597 0.339
O 0.278 0.090 0.147
O 0.357 0.653 0.935
O 0.366 0.157 0.559
O 0.493 0.624 0.350

=====

Entry 3:
Compound: TbCuB5O10
Source: the Alexandria database
Functional: SCAN
Structure: single point on PBEsol structure

**Fermi-level density of states**: 0.0 states/eV/f.u.
**Theoretical density**: 4328 kg/m³
**ΔE_f (raw)**: -2.640 eV/atom

Cell lengths 6.222, 8.469, 12.713 Å; angles 90.00, 90.00, 90.00 degrees
Space group Ibam (No. 72)
One atom of each set of equivalent atoms:
Tb 0.000 0.000 0.250
Cu 0.000 0.000 0.000
B 0.000 0.500 0.250
B 0.117 0.310 0.098
O 0.061 0.157 0.110
O 0.150 0.379 0.000
O 0.150 0.405 0.186

=====

Entry 4:
Compound: Tm2CuB4O10
Source: the Alexandria database
Functional: SCAN
Structure: single point on PBEsol structure

**Theoretical density**: 6493 kg/m³
**ΔE_f (raw)**: -2.912 eV/atom

Cell lengths 4.579, 7.242, 9.325 Å; angles 90.00, 90.26, 90.00 degrees
Space group P2_1/c (No. 14)
One atom of each set of equivalent atoms:
Tm 0.003 0.103 0.165
Cu 0.000 0.000 0.500
B 0.461 0.731 0.580
B 0.472 0.098 0.663
O 0.213 0.590 0.833
O 0.228 0.610 0.541
O 0.322 0.589 0.138
O 0.340 0.164 0.802
O 0.358 0.223 0.549

=====

Entry 5:
Compound: ZnCu2B2O6
Source: the Alexandria database
Functional: SCAN
Structure: single point on PBEsol structure

**Theoretical density**: 4654 kg/m³
**ΔE_f (raw)**: -1.762 eV/atom

Cell lengths 3.266, 14.810, 9.190 Å; angles 90.00, 95.36, 90.00 degrees
Space group P2_1/c (No. 14)
One atom of each set of equivalent atoms:
Zn 0.218 0.138 0.366
Cu 0.308 0.543 0.365
Cu 0.348 0.740 0.876
B 0.158 0.579 0.834
B 0.183 0.153 0.904
O 0.030 0.652 0.736
O 0.085 0.007 0.298
O 0.227 0.235 0.970
O 0.315 0.656 0.263
O 0.329 0.074 0.962
O 0.358 0.616 0.957

=====

Entry 6:
Compound: CuB3Os
Source: the Alexandria database
Functional: SCAN
Structure: single point on PBEsol structure

**ΔH_f (0 K)**: 1.03 eV per atom
**Fermi-level density of states**: 0.5 states/eV/f.u.
**Theoretical density**: 7247 kg/m³
**Distance to the lowest polymorph of the same formula**: 0.000 eV per atom

Cell lengths 4.033, 4.033, 4.033 Å; angles 90.00, 90.00, 90.00 degrees
Space group Pm-3m (No. 221)
One atom of each set of equivalent atoms:
Cu 0.000 0.000 0.000
B 0.000 0.500 0.500
Os 0.500 0.500 0.500

=====

Entry 7:
Compound: CuB3Os
Source: the Alexandria database
Functional: SCAN
Structure: single point on PBEsol structure

**ΔH_f (0 K)**: 1.87 eV per atom
**Fermi-level density of states**: 2.4 states/eV/f.u.
**Theoretical density**: 9387 kg/m³
**Distance to the lowest polymorph of the same formula**: 0.837 eV per atom

Cell lengths 3.699, 3.699, 3.699 Å; angles 90.00, 90.00, 90.00 degrees
Space group Pm-3m (No. 221)
One atom of each set of equivalent atoms:
Cu 0.000 0.000 0.000
B 0.000 0.000 0.500
Os 0.500 0.500 0.500

=====

Entry 8:
Compound: CuB2OsS
Source: the Alexandria database
Functional: SCAN
Structure: single point on PBEsol structure

**Fermi-level density of states**: 2.7 states/eV/f.u.
**Theoretical density**: 8665 kg/m³
**ΔE_f (raw)**: 1.846 eV/atom

Cell lengths 3.766, 3.766, 4.154 Å; angles 90.00, 90.00, 90.00 degrees
Space group P4/mmm (No. 123)
One atom of each set of equivalent atoms:
Cu 0.000 0.000 0.000
B 0.000 0.500 0.500
Os 0.500 0.500 0.000
S 0.000 0.000 0.500

=====

Entry 9:
Compound: TaCuBOs2
Source: the Alexandria database
Functional: SCAN
Structure: single point on PBEsol structure

**ΔH_f (0 K)**: 2.32 eV per atom
**Fermi-level density of states**: 4.2 states/eV/f.u.
**Theoretical density**: 11348 kg/m³

Cell lengths 4.723, 4.723, 4.170 Å; angles 90.00, 90.00, 90.00 degrees
Space group P4/mmm (No. 123)
One atom of each set of equivalent atoms:
Ta 0.000 0.000 0.000
Cu 0.500 0.500 0.500
B 0.000 0.000 0.500
Os 0.000 0.500 0.000

=====

Entry 10:
Compound: Tl2CuBOs
Source: the Alexandria database
Functional: SCAN
Structure: single point on PBEsol structure

**ΔH_f (0 K)**: 1.15 eV per atom
**Fermi-level density of states**: 2.9 states/eV/f.u.
**Theoretical density**: 12473 kg/m³

Cell lengths 4.715, 4.715, 4.032 Å; angles 90.00, 90.00, 90.00 degrees
Space group P4/mmm (No. 123)
One atom of each set of equivalent atoms:
Tl 0.000 0.500 0.000
Cu 0.000 0.000 0.500
B 0.500 0.500 0.000
Os 0.500 0.500 0.500

=====

Entry 11:
Compound: CuSiB2Pb
Source: the Alexandria database
Functional: SCAN
Structure: single point on PBEsol structure

**Fermi-level density of states**: 2.1 states/eV/f.u.
**Theoretical density**: 6821 kg/m³
**ΔE_f (raw)**: 1.262 eV/atom

Cell lengths 3.922, 3.922, 5.072 Å; angles 90.00, 90.00, 90.00 degrees
Space group P4/mmm (No. 123)
One atom of each set of equivalent atoms:
Cu 0.000 0.000 0.000
Si 0.000 0.000 0.500
B 0.000 0.500 0.000
Pb 0.500 0.500 0.500

=====

Entry 12:
Compound: SrCu2BPb
Source: the Alexandria database
Functional: SCAN
Structure: single point on PBEsol structure

**ΔH_f (0 K)**: 1.78 eV per atom
**Fermi-level density of states**: 3.3 states/eV/f.u.
**Theoretical density**: 5639 kg/m³

Cell lengths 5.142, 5.142, 4.820 Å; angles 90.00, 90.00, 90.00 degrees
Space group P4/mmm (No. 123)
One atom of each set of equivalent atoms:
Sr 0.000 0.000 0.000
Cu 0.000 0.500 0.000
B 0.000 0.000 0.500
Pb 0.500 0.500 0.500

=====

The calculation returns the following E_tot values, one per record and in order: -46.2; -685.9; -825.2; -520.8; -462.2; -104.2; -100.0; -102.3; -221.4; -233.5; -109.5; -127.0 eV for the cell shown.